5
Lattice="4.785 0.000 0.000 0.000 5.267 0.000 0.000 0.000 4.785" Properties=species:S:1:pos:R:3 comment="RbZrBe2W (PBE, optimized geometry)" formation_enthalpy_0k_kj_per_mol_fu=1245.4 crystal_system=tetragonal mass_density_g_cm3=5.2 pbc="T T T"
Be 0.000 0.000 2.392
Be 2.392 0.000 0.000
Rb 0.000 2.634 0.000
Zr 0.000 0.000 0.000
W 2.392 2.634 2.392

=====

5
Lattice="-3.501 2.189 0.896 -2.233 -3.587 0.042 -0.989 -1.753 10.383" Properties=species:S:1:pos:R:3 comment="Rb2Y2Be (PBE, optimized geometry)" formation_enthalpy_0k_kj_per_mol_fu=517.6 crystal_system=tetragonal mass_density_g_cm3=3.3 pbc="T T T"
Y -2.594 -0.852 1.910
Y -4.129 -2.298 9.410
Be 0.000 0.000 0.000
Rb -3.678 -0.131 5.874
Rb -3.044 -3.019 5.447